A relaxed structure of Cr2MoSe, computed with PBE-GGA.

## Properties
Its symmetry is I-42d (122). For the formation energy from raw total energies, the calculation gives 0.64 eV/atom. The value obtained for the theoretical density is 7.391 g/cm3. Its size of the total moment is 4.16 μB per formula unit.

Cell and atoms, written as CIF:
```
data_Cr2MoSe
_cell_length_a 6.854
_cell_length_b 6.854
_cell_length_c 5.532
_cell_angle_alpha 51.72
_cell_angle_beta 51.72
_cell_angle_gamma 90.00
_symmetry_space_group_name_H-M 'P 1'
_symmetry_Int_Tables_number 1
_symmetry_space_group_name_Hall 'P 1'
loop_
_atom_site_label
_atom_site_type_symbol
_atom_site_fract_x
_atom_site_fract_y
_atom_site_fract_z
Mo1 Mo 0.750 0.250 0.500
Cr1 Cr 0.618 0.125 0.250
Cr2 Cr 0.375 0.382 0.750
Cr3 Cr 0.132 0.625 0.250
Cr4 Cr 0.875 0.868 0.750
Se1 Se 0.250 0.750 0.500
Se2 Se 0.500 0.500 0.000
Mo2 Mo 0.000 0.000 0.000
```

A relaxed structure of KAc2PaO6, computed with PBE-GGA.

## Properties
Its symmetry is R3 (146). For the formation energy from raw total energies, the calculation gives -3.21 eV/atom. The value obtained for the theoretical density is 7.056 g/cm3. Its size of the total moment is 0.00 μB per formula unit.

Cell and atoms, written as CIF:
```
data_KAc2PaO6
_cell_length_a 6.385
_cell_length_b 6.385
_cell_length_c 6.594
_cell_angle_alpha 61.04
_cell_angle_beta 61.04
_cell_angle_gamma 60.00
_symmetry_space_group_name_H-M 'P 1'
_symmetry_Int_Tables_number 1
_symmetry_space_group_name_Hall 'P 1'
loop_
_atom_site_label
_atom_site_type_symbol
_atom_site_fract_x
_atom_site_fract_y
_atom_site_fract_z
O1 O 0.169 0.376 0.777
O2 O 0.582 0.235 0.224
Pa1 Pa 0.318 0.318 0.045
O3 O 0.376 0.678 0.777
Ac1 Ac 0.530 0.530 0.409
O4 O 0.235 0.959 0.224
O5 O 0.959 0.582 0.224
Ac2 Ac 0.020 0.020 0.939
K1 K 0.794 0.794 0.618
O6 O 0.678 0.169 0.777
```

A relaxed structure of SbAsI2O, computed with PBE-GGA.

## Properties
Its symmetry is P4/mmm (123). For the formation energy from raw total energies, the calculation gives 0.53 eV/atom. The value obtained for the theoretical density is 6.241 g/cm3. Its size of the total moment is 0.00 μB per formula unit.

Cell and atoms, written as CIF:
```
data_SbAsI2O
_cell_length_a 5.193
_cell_length_b 5.193
_cell_length_c 4.602
_cell_angle_alpha 90.00
_cell_angle_beta 90.00
_cell_angle_gamma 90.00
_symmetry_space_group_name_H-M 'P 1'
_symmetry_Int_Tables_number 1
_symmetry_space_group_name_Hall 'P 1'
loop_
_atom_site_label
_atom_site_type_symbol
_atom_site_fract_x
_atom_site_fract_y
_atom_site_fract_z
Sb1 Sb 0.000 0.000 0.500
As1 As 0.500 0.500 0.500
I1 I 0.000 0.500 0.000
O1 O 0.000 0.000 0.000
I2 I 0.500 0.000 0.000
```